# 1
# PBE-GGA ZrBe2Cu, relaxed
data_ZrBe2Cu
_chemical_formula_sum 'Zr2 Be4 Cu2'
_cell_length_a 6.413
_cell_length_b 3.710
_cell_length_c 4.894
_cell_angle_alpha 90.00
_cell_angle_beta 115.96
_cell_angle_gamma 90.00
_space_group_name_H-M_alt 'C 1 2/m 1'
_space_group_IT_number 12
loop_
_space_group_symop_operation_xyz
'x,y,z'
'-x,-y,-z'
'-x,y,-z'
'x,-y,z'
'x+1/2,y+1/2,z'
'-x+1/2,-y+1/2,-z'
'-x+1/2,y+1/2,-z'
'x+1/2,-y+1/2,z'
loop_
_atom_site_label
_atom_site_type_symbol
_atom_site_fract_x
_atom_site_fract_y
_atom_site_fract_z
Zr1 Zr 0.000 0.000 0.000
Be1 Be 0.205 0.000 0.615
Cu1 Cu 0.000 0.500 0.500
# - Energy relative to the lowest polymorph listed for this composition: 0.0000 eV/atom

---

# 2
Zr2Be16Cu: relaxed, PBE-GGA.

CIF file:
```
data_Zr2Be16Cu
_chemical_formula_sum 'Zr6 Be48 Cu3'
_cell_length_a 7.5699
_cell_length_b 7.5699
_cell_length_c 11.0547
_cell_angle_alpha 90.00
_cell_angle_beta 90.00
_cell_angle_gamma 120.00
_space_group_name_H-M_alt 'R 3 m'
_space_group_IT_number 160
_space_group_name_Hall 'R 3 -2"'
loop_
_atom_site_label
_atom_site_type_symbol
_atom_site_fract_x
_atom_site_fract_y
_atom_site_fract_z
Zr1 Zr 0.0000 0.0000 0.0000
Zr2 Zr 0.0000 0.0000 0.3198
Be1 Be 0.0000 0.0000 0.5563
Be2 Be 0.0001 0.2873 0.6590
Be3 Be 0.0006 0.5003 0.8169
Be4 Be 0.0025 0.5013 0.1585
Be5 Be 0.1679 0.3358 0.8343
Cu1 Cu 0.0000 0.0000 0.7547
```

---

# 3
# PBE-GGA ZrBe2Cu, relaxed
data_ZrBe2Cu
_chemical_formula_sum 'Zr1 Be2 Cu1'
_cell_length_a 2.699
_cell_length_b 3.025
_cell_length_c 6.292
_cell_angle_alpha 90.00
_cell_angle_beta 90.00
_cell_angle_gamma 90.00
_space_group_name_H-M_alt 'P m m 2'
_space_group_IT_number 25
loop_
_space_group_symop_operation_xyz
'x,y,z'
'-x,-y,z'
'-x,y,z'
'x,-y,z'
loop_
_atom_site_label
_atom_site_type_symbol
_atom_site_fract_x
_atom_site_fract_y
_atom_site_fract_z
Zr1 Zr 0.000 0.000 0.000
Be1 Be 0.000 0.000 0.479
Be2 Be 0.500 0.500 0.302
Cu1 Cu 0.500 0.500 0.675
# - Energy relative to the lowest polymorph listed for this composition: 0.1481 eV/atom

---

| no. | volume (Å³/f.u.) | formation enthalpy at 0 K (meV per atom) |
| --- | --- | --- |
| 1 | 52.3 | -141 |
| 2 | 182.9 | -248 |
| 3 | 51.4 | 7 |